(1)
# Li2PaMnO6 | Alexandria via LeMat-Bulk | PBE with a Hubbard U | relaxed
# DFT total energy	-7.23	eV/atom
# SG	R3
data_Li2PaMnO6
_chemical_formula_sum 'Li2 Pa1 Mn1 O6'
_cell_length_a 5.604
_cell_length_b 5.604
_cell_length_c 5.604
_cell_angle_alpha 55.87
_cell_angle_beta 55.87
_cell_angle_gamma 55.87
_symmetry_space_group_name_H-M 'P 1'
_symmetry_Int_Tables_number 1
loop_
_symmetry_equiv_pos_as_xyz
'x,y,z'
loop_
_atom_site_label
_atom_site_type_symbol
_atom_site_fract_x
_atom_site_fract_y
_atom_site_fract_z
Li1 Li 0.000 0.000 0.000
Li2 Li 0.492 0.492 0.492
Pa1 Pa 0.280 0.280 0.280
Mn1 Mn 0.783 0.783 0.783
O1 O 0.035 0.418 0.676
O2 O 0.153 0.877 0.575
O3 O 0.418 0.676 0.035
O4 O 0.575 0.153 0.877
O5 O 0.676 0.035 0.418
O6 O 0.877 0.575 0.153



(2)
# Li4PaMn3O12 | Alexandria via LeMat-Bulk | PBE with a Hubbard U | relaxed
# DFT total energy	-6.42	eV/atom
# SG	Im-3
data_Li4PaMn3O12
_chemical_formula_sum 'Li4 Pa1 Mn3 O12'
_cell_length_a 6.371
_cell_length_b 6.371
_cell_length_c 6.371
_cell_angle_alpha 109.47
_cell_angle_beta 109.47
_cell_angle_gamma 109.47
_symmetry_space_group_name_H-M 'P 1'
_symmetry_Int_Tables_number 1
loop_
_symmetry_equiv_pos_as_xyz
'x,y,z'
loop_
_atom_site_label
_atom_site_type_symbol
_atom_site_fract_x
_atom_site_fract_y
_atom_site_fract_z
Li1 Li 0.000 0.000 0.500
Li2 Li 0.000 0.500 0.000
Li3 Li 0.500 0.000 0.000
Li4 Li 0.500 0.500 0.500
Pa1 Pa 0.000 0.000 0.000
Mn1 Mn 0.000 0.500 0.500
Mn2 Mn 0.500 0.000 0.500
Mn3 Mn 0.500 0.500 0.000
O1 O 0.138 0.299 0.839
O2 O 0.161 0.460 0.299
O3 O 0.161 0.862 0.701
O4 O 0.299 0.161 0.460
O5 O 0.299 0.839 0.138
O6 O 0.460 0.299 0.161
O7 O 0.540 0.701 0.839
O8 O 0.701 0.161 0.862
O9 O 0.701 0.839 0.540
O10 O 0.839 0.138 0.299
O11 O 0.839 0.540 0.701
O12 O 0.862 0.701 0.161



(3)
# Li2MnPdO | Alexandria via LeMat-Bulk | PBE with a Hubbard U | relaxed
# DFT total energy	-5.23	eV/atom
# SG	P4/mmm
data_Li2MnPdO
_chemical_formula_sum 'Li2 Mn1 Pd1 O1'
_cell_length_a 3.942
_cell_length_b 3.942
_cell_length_c 4.158
_cell_angle_alpha 90.00
_cell_angle_beta 90.00
_cell_angle_gamma 90.00
_symmetry_space_group_name_H-M 'P 1'
_symmetry_Int_Tables_number 1
loop_
_symmetry_equiv_pos_as_xyz
'x,y,z'
loop_
_atom_site_label
_atom_site_type_symbol
_atom_site_fract_x
_atom_site_fract_y
_atom_site_fract_z
Li1 Li 0.000 0.500 0.000
Li2 Li 0.500 0.000 0.000
Mn1 Mn 0.000 0.000 0.500
Pd1 Pd 0.500 0.500 0.500
O1 O 0.000 0.000 0.000



(4)
# Li2MnPdO4 | Alexandria via LeMat-Bulk | PBE with a Hubbard U | relaxed
# DFT total energy	-5.88	eV/atom
# SG	P2/m
data_Li2MnPdO4
_chemical_formula_sum 'Li2 Mn1 Pd1 O4'
_cell_length_a 5.388
_cell_length_b 2.949
_cell_length_c 5.477
_cell_angle_alpha 90.00
_cell_angle_beta 113.45
_cell_angle_gamma 90.00
_symmetry_space_group_name_H-M 'P 1'
_symmetry_Int_Tables_number 1
loop_
_symmetry_equiv_pos_as_xyz
'x,y,z'
loop_
_atom_site_label
_atom_site_type_symbol
_atom_site_fract_x
_atom_site_fract_y
_atom_site_fract_z
Li1 Li 0.000 0.000 0.000
Li2 Li 0.000 0.500 0.500
Mn1 Mn 0.500 0.000 0.500
Pd1 Pd 0.500 0.500 0.000
O1 O 0.255 0.000 0.763
O2 O 0.267 0.500 0.286
O3 O 0.733 0.500 0.714
O4 O 0.745 0.000 0.237



(5)
# LiPm2MnO5 | Alexandria via LeMat-Bulk | PBE with a Hubbard U | relaxed
# DFT total energy	-7.32	eV/atom
# SG	P4/mbm
data_LiPm2MnO5
_chemical_formula_sum 'Li2 Pm4 Mn2 O10'
_cell_length_a 6.659
_cell_length_b 6.659
_cell_length_c 5.756
_cell_angle_alpha 90.00
_cell_angle_beta 90.00
_cell_angle_gamma 90.00
_symmetry_space_group_name_H-M 'P 1'
_symmetry_Int_Tables_number 1
loop_
_symmetry_equiv_pos_as_xyz
'x,y,z'
loop_
_atom_site_label
_atom_site_type_symbol
_atom_site_fract_x
_atom_site_fract_y
_atom_site_fract_z
Li1 Li 0.000 0.000 0.000
Li2 Li 0.500 0.500 0.000
Pm1 Pm 0.178 0.322 0.500
Pm2 Pm 0.322 0.822 0.500
Pm3 Pm 0.678 0.178 0.500
Pm4 Pm 0.822 0.678 0.500
Mn1 Mn 0.000 0.500 0.000
Mn2 Mn 0.500 0.000 0.000
O1 O 0.000 0.000 0.500
O2 O 0.137 0.637 0.240
O3 O 0.137 0.637 0.760
O4 O 0.363 0.137 0.240
O5 O 0.363 0.137 0.760
O6 O 0.500 0.500 0.500
O7 O 0.637 0.863 0.240
O8 O 0.637 0.863 0.760
O9 O 0.863 0.363 0.240
O10 O 0.863 0.363 0.760



(6)
# Li2Pm2MnO6 | Alexandria via LeMat-Bulk | PBE with a Hubbard U | relaxed
# DFT total energy	-6.85	eV/atom
# SG	R-3m
data_Li2Pm2MnO6
_chemical_formula_sum 'Li2 Pm2 Mn1 O6'
_cell_length_a 5.751
_cell_length_b 5.751
_cell_length_c 5.751
_cell_angle_alpha 57.90
_cell_angle_beta 57.90
_cell_angle_gamma 57.90
_symmetry_space_group_name_H-M 'P 1'
_symmetry_Int_Tables_number 1
loop_
_symmetry_equiv_pos_as_xyz
'x,y,z'
loop_
_atom_site_label
_atom_site_type_symbol
_atom_site_fract_x
_atom_site_fract_y
_atom_site_fract_z
Li1 Li 0.074 0.074 0.074
Li2 Li 0.926 0.926 0.926
Pm1 Pm 0.284 0.284 0.284
Pm2 Pm 0.716 0.716 0.716
Mn1 Mn 0.500 0.500 0.500
O1 O 0.262 0.262 0.718
O2 O 0.262 0.718 0.262
O3 O 0.282 0.738 0.738
O4 O 0.718 0.262 0.262
O5 O 0.738 0.282 0.738
O6 O 0.738 0.738 0.282



(7)
# LiPm2MnO6 | Alexandria via LeMat-Bulk | PBE with a Hubbard U | relaxed
# DFT total energy	-7.29	eV/atom
# SG	P2_1/c
data_LiPm2MnO6
_chemical_formula_sum 'Li2 Pm4 Mn2 O12'
_cell_length_a 5.346
_cell_length_b 5.749
_cell_length_c 9.228
_cell_angle_alpha 90.00
_cell_angle_beta 124.56
_cell_angle_gamma 90.00
_symmetry_space_group_name_H-M 'P 1'
_symmetry_Int_Tables_number 1
loop_
_symmetry_equiv_pos_as_xyz
'x,y,z'
loop_
_atom_site_label
_atom_site_type_symbol
_atom_site_fract_x
_atom_site_fract_y
_atom_site_fract_z
Li1 Li 0.000 0.000 0.000
Li2 Li 0.000 0.500 0.500
Pm1 Pm 0.230 0.075 0.749
Pm2 Pm 0.230 0.425 0.249
Pm3 Pm 0.770 0.575 0.751
Pm4 Pm 0.770 0.925 0.251
Mn1 Mn 0.500 0.000 0.500
Mn2 Mn 0.500 0.500 0.000
O1 O 0.161 0.183 0.456
O2 O 0.161 0.317 0.956
O3 O 0.273 0.715 0.451
O4 O 0.273 0.785 0.951
O5 O 0.348 0.027 0.257
O6 O 0.348 0.473 0.757
O7 O 0.652 0.527 0.243
O8 O 0.652 0.973 0.743
O9 O 0.727 0.215 0.049
O10 O 0.727 0.285 0.549
O11 O 0.839 0.683 0.044
O12 O 0.839 0.817 0.544



(8)
# Li4PmMn3O12 | Alexandria via LeMat-Bulk | PBE with a Hubbard U | relaxed
# DFT total energy	-5.97	eV/atom
# SG	Im-3
data_Li4PmMn3O12
_chemical_formula_sum 'Li4 Pm1 Mn3 O12'
_cell_length_a 6.521
_cell_length_b 6.521
_cell_length_c 6.521
_cell_angle_alpha 109.47
_cell_angle_beta 109.47
_cell_angle_gamma 109.47
_symmetry_space_group_name_H-M 'P 1'
_symmetry_Int_Tables_number 1
loop_
_symmetry_equiv_pos_as_xyz
'x,y,z'
loop_
_atom_site_label
_atom_site_type_symbol
_atom_site_fract_x
_atom_site_fract_y
_atom_site_fract_z
Li1 Li 0.000 0.000 0.500
Li2 Li 0.000 0.500 0.000
Li3 Li 0.500 0.000 0.000
Li4 Li 0.500 0.500 0.500
Pm1 Pm 0.000 0.000 0.000
Mn1 Mn 0.000 0.500 0.500
Mn2 Mn 0.500 0.000 0.500
Mn3 Mn 0.500 0.500 0.000
O1 O 0.150 0.841 0.309
O2 O 0.159 0.309 0.467
O3 O 0.159 0.691 0.850
O4 O 0.309 0.150 0.841
O5 O 0.309 0.467 0.159
O6 O 0.467 0.159 0.309
O7 O 0.533 0.841 0.691
O8 O 0.691 0.533 0.841
O9 O 0.691 0.850 0.159
O10 O 0.841 0.309 0.150
O11 O 0.841 0.691 0.533
O12 O 0.850 0.159 0.691